{"formula": "SrAgW2", "functional": "GGA-PBE", "state": "optimized geometry", "cell": [[-2.130, 4.325, 0.421], [-2.621, 3.443, -2.168], [-5.725, -2.631, 1.983]], "species": ["Ag", "Sr", "W", "W"], "fractional_positions": [[0.494, 0.494, 0.544], [0.245, 0.245, 0.246], [0.004, 0.004, 0.936], [0.757, 0.757, 0.774]], "de_polymorph_mev_per_atom": 296, "delta_e_f_ev_per_atom": 0.89, "dos_at_fermi_per_ev_atom": 0.75}



{"formula": "Sr2AgW", "functional": "GGA-PBE", "state": "optimized geometry", "cell": [[5.692, 0.000, 0.000], [0.000, 3.167, 0.001], [0.000, 0.001, 5.884]], "species": ["Ag", "Sr", "Sr", "W"], "fractional_positions": [[0.500, 0.625, 0.808], [0.000, 0.124, 0.922], [0.500, 0.126, 0.336], [0.000, 0.625, 0.434]], "de_polymorph_mev_per_atom": 105, "delta_e_f_ev_per_atom": 0.88, "dos_at_fermi_per_ev_atom": 0.95}



{"formula": "SrAgW", "functional": "GGA-PBE", "state": "optimized geometry", "cell": [[4.978, 0.000, 0.000], [2.489, 4.311, 0.000], [2.489, 1.437, 4.064]], "species": ["Ag", "Sr", "W"], "fractional_positions": [[0.750, 0.750, 0.750], [0.000, 0.000, 0.000], [0.500, 0.500, 0.500]], "de_polymorph_mev_per_atom": 557, "delta_e_f_ev_per_atom": 1.44, "dos_at_fermi_per_ev_atom": 0.80}



{"formula": "Sr2AgW", "functional": "GGA-PBE", "state": "optimized geometry", "cell": [[-6.209, -0.554, -1.093], [-4.859, -2.202, -3.405], [-1.769, -4.969, 2.507]], "species": ["Ag", "Sr", "Sr", "W"], "fractional_positions": [[0.214, 0.214, 0.223], [0.974, 0.974, 0.067], [0.777, 0.777, 0.682], [0.535, 0.535, 0.527]], "de_polymorph_mev_per_atom": 26, "delta_e_f_ev_per_atom": 0.80, "dos_at_fermi_per_ev_atom": 1.22}



{"formula": "SrAgW2", "functional": "GGA-PBE", "state": "optimized geometry", "cell": [[3.061, 0.000, 0.000], [0.000, 4.787, 0.000], [0.000, 0.000, 5.491]], "species": ["Ag", "Sr", "W", "W"], "fractional_positions": [[0.500, 0.000, 0.500], [0.000, 0.500, 0.500], [0.000, 0.000, 0.000], [0.500, 0.500, 0.000]], "de_polymorph_mev_per_atom": 416, "delta_e_f_ev_per_atom": 1.01, "dos_at_fermi_per_ev_atom": 1.07}



{"formula": "SrAgW", "functional": "GGA-PBE", "state": "optimized geometry", "cell": [[5.205, 0.000, 0.000], [2.602, 4.507, 0.000], [2.602, 1.502, 4.250]], "species": ["Ag", "Sr", "W"], "fractional_positions": [[0.500, 0.500, 0.500], [0.750, 0.750, 0.750], [0.000, 0.000, 0.000]], "de_polymorph_mev_per_atom": 1066, "delta_e_f_ev_per_atom": 1.95, "dos_at_fermi_per_ev_atom": 0.46}



{"formula": "SrAg2W", "functional": "GGA-PBE", "state": "optimized geometry", "cell": [[-2.854, 2.604, 1.578], [-1.938, -0.935, -1.963], [-4.045, -5.954, 2.512]], "species": ["Ag", "Ag", "Sr", "W"], "fractional_positions": [[0.000, 0.053, 0.948], [0.000, 0.447, 0.552], [0.500, 0.250, 0.250], [0.500, 0.750, 0.750]], "de_polymorph_mev_per_atom": 31, "delta_e_f_ev_per_atom": 0.68, "dos_at_fermi_per_ev_atom": 0.95}



{"formula": "SrAgW2", "functional": "GGA-PBE", "state": "optimized geometry", "cell": [[-1.823, -1.272, -1.653], [-1.219, -0.538, 2.428], [-5.318, 8.614, -0.762]], "species": ["Ag", "Sr", "W", "W"], "fractional_positions": [[0.500, 0.500, 0.250], [0.500, 0.500, 0.750], [0.000, 0.000, 0.026], [0.000, 0.000, 0.474]], "de_polymorph_mev_per_atom": 472, "delta_e_f_ev_per_atom": 1.07, "dos_at_fermi_per_ev_atom": 0.77}



{"formula": "SrAg4W", "functional": "GGA-PBE", "state": "optimized geometry", "cell": [[0.000, 3.988, 3.988], [3.988, 0.000, 3.988], [3.988, 3.988, 0.000]], "species": ["Sr", "Ag", "Ag", "Ag", "Ag", "W"], "fractional_positions": [[0.750, 0.750, 0.750], [0.877, 0.374, 0.374], [0.374, 0.374, 0.877], [0.374, 0.877, 0.374], [0.374, 0.374, 0.374], [0.000, 0.000, 0.000]], "delta_e_f_ev_per_atom": 0.59, "dos_at_fermi_per_ev_atom": 0.89}



{"formula": "SrAgW2", "functional": "GGA-PBE", "state": "optimized geometry", "cell": [[10.769, 0.003, 0.002], [10.376, 2.881, 0.002], [10.376, 1.415, 2.509]], "species": ["Ag", "Sr", "W", "W"], "fractional_positions": [[0.507, 0.507, 0.507], [0.750, 0.750, 0.750], [0.992, 0.992, 0.992], [0.251, 0.251, 0.251]], "de_polymorph_mev_per_atom": 379, "delta_e_f_ev_per_atom": 0.98, "dos_at_fermi_per_ev_atom": 1.29}



{"formula": "SrAg2W", "functional": "GGA-PBE", "state": "optimized geometry", "cell": [[2.909, 0.000, 0.000], [0.000, 4.283, 0.000], [0.000, 0.000, 6.960]], "species": ["Ag", "Ag", "Sr", "W"], "fractional_positions": [[0.000, 0.000, 0.983], [0.500, 0.500, 0.209], [0.000, 0.000, 0.497], [0.500, 0.500, 0.811]], "de_polymorph_mev_per_atom": 136, "delta_e_f_ev_per_atom": 0.78, "dos_at_fermi_per_ev_atom": 0.88}



{"formula": "SrAgW2", "functional": "GGA-PBE", "state": "optimized geometry", "cell": [[-2.407, -0.896, -4.629], [-1.472, -3.381, 1.420], [-3.196, 1.933, 1.288]], "species": ["Ag", "Sr", "W", "W"], "fractional_positions": [[0.500, 0.500, 0.000], [0.500, 0.000, 0.500], [0.000, 0.000, 0.000], [0.000, 0.500, 0.500]], "de_polymorph_mev_per_atom": 543, "delta_e_f_ev_per_atom": 1.14, "dos_at_fermi_per_ev_atom": 1.10}



{"formula": "SrAgW2", "functional": "GGA-PBE", "state": "optimized geometry", "cell": [[-2.653, -0.693, 0.407], [0.592, -2.635, -0.627], [1.969, -1.860, 9.678]], "species": ["Ag", "Sr", "W", "W"], "fractional_positions": [[0.500, 0.500, 0.250], [0.500, 0.500, 0.750], [0.000, 0.000, 0.027], [0.000, 0.000, 0.473]], "de_polymorph_mev_per_atom": 475, "delta_e_f_ev_per_atom": 1.07, "dos_at_fermi_per_ev_atom": 0.88}



{"formula": "Sr2AgW", "functional": "GGA-PBE", "state": "optimized geometry", "cell": [[-4.738, -3.390, 6.314], [7.090, -3.325, 3.534], [1.574, -0.645, 6.679]], "species": ["Sr", "Sr", "Sr", "Sr", "Ag", "Ag", "W", "W"], "fractional_positions": [[0.610, 0.125, 0.250], [0.140, 0.625, 0.250], [0.375, 0.390, 0.750], [0.875, 0.860, 0.750], [0.500, 0.500, 0.000], [0.250, 0.750, 0.500], [0.000, 0.000, 0.000], [0.750, 0.250, 0.500]], "de_polymorph_mev_per_atom": 405, "delta_e_f_ev_per_atom": 1.18, "dos_at_fermi_per_ev_atom": 0.99}



{"formula": "SrAg2W", "functional": "GGA-PBE", "state": "optimized geometry", "cell": [[10.468, -0.012, -0.007], [10.037, 2.975, -0.007], [10.037, 1.450, 2.597]], "species": ["Ag", "Ag", "Sr", "W"], "fractional_positions": [[0.008, 0.008, 0.008], [0.492, 0.492, 0.492], [0.250, 0.250, 0.250], [0.750, 0.750, 0.750]], "de_polymorph_mev_per_atom": 224, "delta_e_f_ev_per_atom": 0.87, "dos_at_fermi_per_ev_atom": 1.25}



{"formula": "SrAgW", "functional": "GGA-PBE", "state": "optimized geometry", "cell": [[-3.076, -3.938, 5.685], [-0.525, -3.048, 6.908], [-1.448, 2.132, 1.467]], "species": ["Ag", "Sr", "W"], "fractional_positions": [[0.016, 0.016, 0.984], [0.331, 0.331, 0.669], [0.653, 0.653, 0.347]], "de_polymorph_mev_per_atom": 0, "delta_e_f_ev_per_atom": 0.89, "dos_at_fermi_per_ev_atom": 0.95}



{"formula": "SrAg2W", "functional": "GGA-PBE", "state": "optimized geometry", "cell": [[-4.825, 0.439, 0.736], [0.159, -1.889, 2.170], [1.068, 3.521, 4.904]], "species": ["Ag", "Ag", "Sr", "W"], "fractional_positions": [[0.000, 0.205, 0.966], [0.500, 0.066, 0.242], [0.000, 0.452, 0.472], [0.500, 0.777, 0.821]], "de_polymorph_mev_per_atom": 77, "delta_e_f_ev_per_atom": 0.73, "dos_at_fermi_per_ev_atom": 0.63}



{"formula": "Sr2AgW", "functional": "GGA-PBE", "state": "optimized geometry", "cell": [[-1.793, -1.276, 5.029], [-5.183, 1.108, 1.429], [-3.596, -4.092, 0.676]], "species": ["Sr", "Sr", "Ag", "W"], "fractional_positions": [[0.250, 0.250, 0.250], [0.750, 0.750, 0.750], [0.000, 0.000, 0.000], [0.500, 0.500, 0.500]], "de_polymorph_mev_per_atom": 152, "delta_e_f_ev_per_atom": 0.92, "dos_at_fermi_per_ev_atom": 0.76}



{"formula": "SrAgW2", "functional": "GGA-PBE", "state": "optimized geometry", "cell": [[-3.944, 0.734, 4.437], [-5.474, -2.410, 0.047], [5.724, -1.443, -0.962]], "species": ["Ag", "Sr", "W", "W"], "fractional_positions": [[0.250, 0.750, 0.500], [0.750, 0.250, 0.500], [0.000, 0.000, 0.000], [0.500, 0.500, 0.000]], "de_polymorph_mev_per_atom": 573, "delta_e_f_ev_per_atom": 1.17, "dos_at_fermi_per_ev_atom": 1.23}



{"formula": "SrAgW2", "functional": "GGA-PBE", "state": "optimized geometry", "cell": [[-3.384, 0.910, 0.875], [-0.587, -3.350, 1.214], [2.195, 1.953, 6.456]], "species": ["Ag", "Sr", "W", "W"], "fractional_positions": [[0.500, 0.500, 0.250], [0.500, 0.500, 0.750], [0.000, 0.000, 0.088], [0.000, 0.000, 0.412]], "de_polymorph_mev_per_atom": 629, "delta_e_f_ev_per_atom": 1.23, "dos_at_fermi_per_ev_atom": 1.49}